No. 1
Below is crystalline SnTe2Au2 at its relaxed geometry, with properties calculated at the PBE level.

Cell: 4.5815 4.5815 12.8054 Å, 90.00 90.00 90.00°
Space group I4/mmm (No. 139)
Asymmetric unit:
Sn 0.0000 0.0000 0.0000 (multiplicity 2)
Te 0.0000 0.5000 0.2500 (multiplicity 4)
Au 0.0000 0.0000 0.3973 (multiplicity 4)

## Properties
The value obtained for the raw total energy is -3.17 eV per atom. For the uncorrected formation energy, the calculation gives 0.1980 eV/atom. The calculation puts the volume at 26.879 A^3/atom. Its energy relative to the lowest polymorph listed for this composition is 0.287 eV/atom.


No. 2
Below is crystalline Sn2TeAu at its relaxed geometry, with properties calculated at the PBE level.

Cell: 4.0934 4.0934 22.7303 Å, 90.00 90.00 120.00°
Space group R3m (No. 160, hexagonal axes)
Asymmetric unit:
Sn 0.0000 0.0000 0.0000 (multiplicity 3)
Sn 0.0000 0.0000 0.1880 (multiplicity 3)
Te 0.0000 0.0000 0.4260 (multiplicity 3)
Au 0.0000 0.0000 0.5945 (multiplicity 3)

## Properties
The value obtained for the raw total energy is -3.75 eV per atom. For the uncorrected formation energy, the calculation gives -0.1411 eV/atom. The calculation puts the volume at 27.487 A^3/atom.


No. 3
Below is crystalline TlSnTe2Au at its relaxed geometry, with properties calculated at the PBE level.

Cell: 8.2339 5.2443 8.6069 Å, 90.00 111.13 90.00°
Space group P2/c (No. 13)
Asymmetric unit:
Tl 0.0000 0.1935 0.2500 (multiplicity 2)
Sn 0.5000 0.3668 0.7500 (multiplicity 2)
Te 0.2383 0.2968 0.9976 (multiplicity 4)
Au 0.5000 0.0000 0.0000 (multiplicity 2)

## Properties
The value obtained for the raw total energy is -3.40 eV per atom. For the uncorrected formation energy, the calculation gives -0.2140 eV/atom. The calculation puts the volume at 34.667 A^3/atom.


No. 4
Below is crystalline YSnTe3Au at its relaxed geometry, with properties calculated at the PBE level.

Cell: 8.6656 4.2895 10.1422 Å, 90.00 104.54 90.00°
Space group P2_1/m (No. 11)
Asymmetric unit:
Y 0.1853 0.2500 0.1786 (multiplicity 2)
Sn 0.2901 0.7500 0.7334 (multiplicity 2)
Te 0.0802 0.2500 0.8569 (multiplicity 2)
Te 0.2284 0.2500 0.4878 (multiplicity 2)
Te 0.4257 0.7500 0.1369 (multiplicity 2)
Au 0.4121 0.7500 0.4064 (multiplicity 2)

## Properties
The value obtained for the raw total energy is -4.52 eV per atom. For the uncorrected formation energy, the calculation gives -0.6581 eV/atom. The calculation puts the volume at 30.410 A^3/atom.


No. 5
Below is crystalline ThSn2Au at its relaxed geometry, with properties calculated at the PBE level.

Cell: 4.6924 4.6924 4.5546 Å, 90.00 90.00 90.00°
Space group P4/mmm (No. 123)
Asymmetric unit:
Th 0.0000 0.0000 0.0000 (multiplicity 1)
Sn 0.0000 0.5000 0.5000 (multiplicity 2)
Au 0.5000 0.5000 0.0000 (multiplicity 1)

## Properties
As for the formation energy: -48.8 kJ/mol of atoms. The value obtained for the raw total energy is -5.18 eV per atom. The calculation puts the volume at 25.072 A^3/atom. Its energy relative to the lowest polymorph listed for this composition is 0.000 eV/atom.


No. 6
Below is crystalline ThSnAu2 at its relaxed geometry, with properties calculated at the PBE level.

Cell: 7.1591 7.1670 7.2845 Å, 90.00 90.00 90.00°
Space group Fmmm (No. 69)
Asymmetric unit:
Th 0.0000 0.0000 0.0000 (multiplicity 4)
Sn 0.0000 0.0000 0.5000 (multiplicity 4)
Au 0.2500 0.2500 0.2500 (multiplicity 8)

## Properties
As for the formation energy: -61.2 kJ/mol of atoms. The value obtained for the raw total energy is -5.13 eV per atom. The calculation puts the volume at 23.360 A^3/atom.


No. 7
Below is crystalline Th5Sn2Au at its relaxed geometry, with properties calculated at the PBE level.

Cell: 6.7337 6.7344 6.7382 Å, 114.77 114.75 99.28°
Space group P1 (No. 1)
Asymmetric unit:
Th 0.0000 0.0000 0.0000 (multiplicity 1)
Th 0.9998 0.5003 0.0009 (multiplicity 1)
Th 0.4968 0.9944 0.0008 (multiplicity 1)
Th 0.4995 0.5002 0.5004 (multiplicity 1)
Th 0.9937 0.9944 0.4978 (multiplicity 1)
Sn 0.4975 0.0015 0.5040 (multiplicity 1)
Sn 0.9976 0.4957 0.4984 (multiplicity 1)
Au 0.4934 0.4875 0.9940 (multiplicity 1)

## Properties
As for the formation energy: -36.6 kJ/mol of atoms. The value obtained for the raw total energy is -6.43 eV per atom. The calculation puts the volume at 28.752 A^3/atom.


No. 8
Below is crystalline Th2SnAu at its relaxed geometry, with properties calculated at the PBE level.

Cell: 3.4859 3.4859 8.8091 Å, 90.00 90.00 90.00°
Space group P4/mmm (No. 123)
Asymmetric unit:
Th 0.0000 0.0000 0.2350 (multiplicity 2)
Sn 0.5000 0.5000 0.5000 (multiplicity 1)
Au 0.5000 0.5000 0.0000 (multiplicity 1)

## Properties
As for the formation energy: -52.7 kJ/mol of atoms. The value obtained for the raw total energy is -6.08 eV per atom. The calculation puts the volume at 26.760 A^3/atom.